## w
## Pm3Ho3Er (PBE)

Data for a geometry-optimized Pm3Ho3Er structure.

Summary:
Its space-group type is No. 148. The calculation puts the density of states at the Fermi level at 21.467 states/eV per cell.

Cell lengths 6.2030, 6.2030, 14.7515 Å; angles 77.86, 77.86, 60.00 degrees
Sites, in units of the cell vectors:
Pm 0.1998 0.8687 0.3935
Pm 0.5380 0.1998 0.3935
Pm 0.8687 0.5380 0.3935
Pm 0.1313 0.4620 0.6065
Pm 0.4620 0.8002 0.6065
Pm 0.8002 0.1313 0.6065
Ho 0.9356 0.2690 0.1937
Ho 0.6018 0.9356 0.1937
Ho 0.2690 0.6018 0.1937
Ho 0.7310 0.3982 0.8063
Ho 0.3982 0.0644 0.8063
Ho 0.0644 0.7310 0.8063
Er 0.6667 0.6667 0.9999
Er 0.3333 0.3333 0.0001

## x
## Pm3Ho3Er (PBE)

Data for a geometry-optimized Pm3Ho3Er structure.

Summary:
Its space-group type is No. 11. The calculation puts the density of states at the Fermi level at 24.732 states/eV per cell.

Cell lengths 5.7263, 9.5933, 9.5852 Å; angles 119.80, 90.00, 90.00 degrees
Sites, in units of the cell vectors:
Pm 0.7500 0.8774 0.9744
Pm 0.7500 0.0229 0.4038
Pm 0.7500 0.1687 0.8336
Pm 0.2500 0.1226 0.0256
Pm 0.2500 0.9771 0.5962
Pm 0.2500 0.8313 0.1664
Ho 0.2500 0.6857 0.7351
Ho 0.2500 0.2673 0.4548
Ho 0.2500 0.4062 0.8811
Ho 0.7500 0.3143 0.2649
Ho 0.7500 0.7327 0.5452
Ho 0.7500 0.5938 0.1189
Er 0.7500 0.4533 0.6890
Er 0.2500 0.5467 0.3110

Q: Which of them is the most stable? A: x.